! Dy2Ge4Rh5 GGA-PBE optimized geometry; values from VASP
&SYSTEM
  ibrav = 0, nat = 11, ntyp = 3
/
ATOMIC_SPECIES
Dy 162.50 Dy.upf
Rh 102.91 Rh.upf
Ge 72.64 Ge.upf
CELL_PARAMETERS angstrom
-0.760 2.593 4.959
-5.038 0.287 2.293
0.858 -5.063 5.994
ATOMIC_POSITIONS crystal
Dy 0.124 0.000 0.753
Dy 0.876 0.000 0.247
Rh 0.750 0.500 0.500
Rh 0.250 0.500 0.500
Rh 0.500 0.000 0.000
Rh 0.000 0.500 0.000
Rh 0.500 0.500 0.000
Ge 0.214 0.311 0.262
Ge 0.476 0.311 0.738
Ge 0.524 0.689 0.262
Ge 0.786 0.689 0.738
! - DOS(E_F) (states/eV/f.u.) = 3.66
! - total DFT energy (no corrections) (eV per atom) = -6.6263
! - energy of formation from the pure elements (kJ/mol of formula units) = -816